First-principles (GGA+U) data for a geometry-optimized MnZnF6 structure, as listed in Alexandria via LeMat-Bulk.

It has space group P-31c (No. 163), with a = 4.9479 Å, b = 4.9479 Å, c = 9.1885 Å, α = 90.00°, β = 90.00° and γ = 120.00°. The distinct sites, in fractional coordinates, are Mn at (0.0000, 0.0000, 0.0000), Zn at (0.3333, 0.6667, 0.2500) and F at (0.0208, 0.3148, 0.1168).

For the total energy, the calculation gives -4.705 eV per atom.